Entry 1:
# PBE-GGA PaH2Rh, relaxed
# VASP energy, eV/atom: -6.386
# Excess energy over the best structure of this formula in the dataset, eV/f.u.: 0.00
data_PaH2Rh
_chemical_formula_sum 'Pa2 H4 Rh2'
_cell_length_a 3.767
_cell_length_b 4.026
_cell_length_c 6.500
_cell_angle_alpha 90.00
_cell_angle_beta 106.73
_cell_angle_gamma 90.00
_space_group_name_H-M_alt 'P 1 21/m 1'
_space_group_IT_number 11
loop_
_space_group_symop_operation_xyz
'x,y,z'
'-x,-y,-z'
'-x,y+1/2,-z'
'x,-y+1/2,z'
loop_
_atom_site_label
_atom_site_fract_x
_atom_site_fract_y
_atom_site_fract_z
Pa1 0.148 0.250 0.295
H1 0.056 0.750 0.110
H2 0.245 0.750 0.490
Rh1 0.419 0.250 0.841

---

Entry 2:
# PBE-GGA PaH12Rh6, relaxed
# VASP energy, eV/atom: -5.075
data_PaH12Rh6
_chemical_formula_sum 'Pa3 H36 Rh18'
_cell_length_a 8.7894
_cell_length_b 8.7894
_cell_length_c 6.9296
_cell_angle_alpha 90.00
_cell_angle_beta 90.00
_cell_angle_gamma 120.00
_space_group_name_H-M_alt 'R -3'
_space_group_IT_number 148
_space_group_name_Hall '-R 3'
loop_
_atom_site_label
_atom_site_fract_x
_atom_site_fract_y
_atom_site_fract_z
Pa1 0.0000 0.0000 0.0000
H1 0.0378 0.7598 0.9142
H2 0.0651 0.8538 0.3915
Rh1 0.0767 0.8410 0.6637